CsRbBaPPt, relaxed, DFT PBE-GGA; formation energy = -0.4171 eV per atom; E_tot = -3.46 eV per atom; SG = Cm (8)
1.0
9.1921 0.0000 0.0000
0.0000 5.3102 0.0000
-3.1536 0.0000 10.1801
Cs Rb Ba P Pt
2 2 2 2 2
Cartesian
0.0000 0.0000 0.0000
4.5960 2.6551 0.0000
1.4460 2.6551 4.1699
6.0421 0.0000 4.1699
-1.6190 2.6551 7.1018
2.9770 0.0000 7.1018
-0.0871 0.0000 8.2368
4.5090 2.6551 8.2368
-0.0873 0.0000 5.9350
4.5088 2.6551 5.9350


CsRbBaPPt, relaxed, DFT PBE-GGA; formation energy = -0.5044 eV per atom; E_tot = -3.54 eV per atom; SG = P1 (1)
1.0
4.4297 0.0000 0.0000
2.0959 5.7192 0.0000
0.6848 2.6230 10.7617
Cs Rb Ba P Pt
1 1 1 1 1
Cartesian
0.0000 0.0000 0.0000
2.1802 2.7284 4.1527
4.6114 5.4553 7.2784
4.6981 2.2632 7.3199
2.4848 2.9271 7.5059


CsRbBaPPt, relaxed, DFT PBE-GGA; formation energy = -0.4933 eV per atom; E_tot = -3.53 eV per atom; SG = P1 (1)
1.0
4.4177 0.0000 0.0000
2.1405 4.8075 0.0000
1.5063 0.3378 12.3057
Cs Rb Ba P Pt
1 1 1 1 1
Cartesian
0.0000 0.0000 0.0000
3.9127 2.5521 7.8808
6.6095 4.7679 3.9398
4.4214 2.7136 2.3599
2.2147 2.0548 2.3646